Entry 1:
Cr2CdAsO6: relaxed, PBE with a Hubbard U.

SG ... No. 1
Density of states at the Fermi level ... 0.02 states/eV per atom
Energy ... -6.4921 eV/atom
M_tot ... 7.0 μB/f.u.

a = 5.1586 Å, b = 5.2135 Å, c = 5.5764 Å
α = 65.35°, β = 89.25°, γ = 60.81°
With the nearest neighbours (Å) after each atom.
Element x y z (fractional)
Cr 0.0000 0.0000 0.0000  4 O 2.06-2.20
Cr 0.4981 0.0295 0.4530  6 O 1.99-2.06
Cd 0.2720 0.4720 0.8266  3 O 2.18-2.23
As 0.8147 0.3971 0.4082  6 O 1.84-1.95
O 0.0873 0.2118 0.2150  1 As 1.89, 2 Cr 2.05-2.11
O 0.1898 0.1956 0.6643  1 As 1.93, 1 Cr 2.03
O 0.4719 0.4724 0.2211  1 As 1.84, 1 Cr 2.06
O 0.6189 0.5560 0.6464  1 As 1.88, 1 Cr 1.99
O 0.7477 0.8240 0.2236  1 As 1.87, 2 Cr 2.05-2.06
O 0.8498 0.9794 0.6604  1 As 1.95, 2 Cr 2.01-2.12



Entry 2:
Cr2CdAsO8: relaxed, PBE with a Hubbard U.

SG ... No. 12
Density of states at the Fermi level ... 0.39 states/eV per atom
Energy ... -6.1765 eV/atom
M_tot ... 3.0 μB/f.u.

a = 4.5877 Å, b = 4.5877 Å, c = 6.2027 Å
α = 90.41°, β = 90.41°, γ = 88.14°
With the nearest neighbours (Å) after each atom.
Element x y z (fractional)
Cr 0.0062 0.0062 0.2468  6 O 1.85-2.04
Cr 0.9938 0.9938 0.7532  6 O 1.85-2.04
Cd 0.5000 0.5000 0.5000  6 O 2.17-2.19
As 0.5000 0.5000 0.0000  6 O 1.83-1.95
O 0.1716 0.1716 0.4902  2 Cr 1.85-2.02
O 0.2042 0.2042 0.9963  1 As 1.95, 2 Cr 2.04
O 0.2969 0.6963 0.2128  1 As 1.83, 1 Cr 1.93
O 0.3037 0.7031 0.7872  1 As 1.83, 1 Cr 1.93
O 0.6963 0.2969 0.2128  1 As 1.83, 1 Cr 1.93
O 0.7031 0.3037 0.7872  1 As 1.83, 1 Cr 1.93
O 0.7958 0.7958 0.0037  1 As 1.95, 2 Cr 2.04
O 0.8284 0.8284 0.5098  2 Cr 1.85-2.02



Q: density of states at the Fermi level of number 2 (Cr2CdAsO8)?
A: 0.39 states/eV per atom



Copy entry 1 word for word.
Cr2CdAsO6: relaxed, PBE with a Hubbard U.

SG ... No. 1
Density of states at the Fermi level ... 0.02 states/eV per atom
Energy ... -6.4921 eV/atom
M_tot ... 7.0 μB/f.u.

a = 5.1586 Å, b = 5.2135 Å, c = 5.5764 Å
α = 65.35°, β = 89.25°, γ = 60.81°
With the nearest neighbours (Å) after each atom.
Element x y z (fractional)
Cr 0.0000 0.0000 0.0000  4 O 2.06-2.20
Cr 0.4981 0.0295 0.4530  6 O 1.99-2.06
Cd 0.2720 0.4720 0.8266  3 O 2.18-2.23
As 0.8147 0.3971 0.4082  6 O 1.84-1.95
O 0.0873 0.2118 0.2150  1 As 1.89, 2 Cr 2.05-2.11
O 0.1898 0.1956 0.6643  1 As 1.93, 1 Cr 2.03
O 0.4719 0.4724 0.2211  1 As 1.84, 1 Cr 2.06
O 0.6189 0.5560 0.6464  1 As 1.88, 1 Cr 1.99
O 0.7477 0.8240 0.2236  1 As 1.87, 2 Cr 2.05-2.06
O 0.8498 0.9794 0.6604  1 As 1.95, 2 Cr 2.01-2.12



Q: Which value of M_tot does entry 1 give?
A: 7.0 μB/f.u.



Q: Among the records above, which one has the highest density of states at the Fermi level?
A: Cr2CdAsO8